Material: Ti3SnIr
Method: DFT, PBE
State: optimized geometry

## Properties
As for the magnetization: 0.0 μB per cell. The calculation puts the formation energy at -33.3 kJ/mol of atoms. The value obtained for the offset from the most stable computed form is 0.000 kcal/mol of atoms. The space group is C2/m. The density of states at the Fermi level comes out at 11.0 states/eV per cell.

Geometry as POSCAR:
```
Ti3SnIr
1.0
4.8001 -1.7458 0.0000
4.8001 1.7458 0.0000
-1.9952 0.0000 10.7471
Ti Sn Ir
6 2 2
Cartesian
-0.1332 0.0000 4.0557
-0.5766 0.0000 10.2496
2.6596 0.0000 2.7007
4.9454 0.0000 8.0464
8.1816 0.0000 0.4975
7.7383 0.0000 6.6915
2.2411 0.0000 9.0573
5.3639 0.0000 1.6899
0.9363 0.0000 6.4003
6.6687 0.0000 4.3469
```

=====

Material: Ti6SnIr
Method: DFT, PBE
State: optimized geometry

## Properties
As for the magnetization: 0.0 μB per cell. The calculation puts the formation energy at -39.5 kJ/mol of atoms. The value obtained for the offset from the most stable computed form is 0.000 kcal/mol of atoms. The space group is P-1. The density of states at the Fermi level comes out at 12.7 states/eV per cell.

Geometry as POSCAR:
```
Ti6SnIr
1.0
5.1114 0.0000 0.0000
-0.0078 5.1168 0.0000
-0.0228 -0.0147 5.1175
Ti Sn Ir
6 1 1
Cartesian
-0.0043 0.0065 1.3408
5.0851 5.0956 3.7767
1.1913 2.5418 5.1042
2.5343 3.7717 2.5574
2.5465 1.3304 2.5601
3.8895 2.5603 0.0133
2.5557 0.0000 0.0000
-0.0153 2.5511 2.5588
```

=====

Material: Ti2Sn2Ir
Method: DFT, PBE
State: optimized geometry

## Properties
As for the magnetization: 0.0 μB per cell. The calculation puts the formation energy at -15.9 kJ/mol of atoms. The space group is P4/mbm. The density of states at the Fermi level comes out at 7.4 states/eV per cell.

Geometry as POSCAR:
```
Ti2Sn2Ir
1.0
6.8078 0.0000 0.0000
0.0000 6.8078 0.0000
0.0000 0.0000 4.1538
Ti Sn Ir
4 4 2
Cartesian
1.0655 2.3384 0.0000
2.3384 5.7423 0.0000
4.4694 1.0655 0.0000
5.7423 4.4694 0.0000
1.0004 4.4043 2.0769
2.4035 1.0004 2.0769
4.4043 5.8074 2.0769
5.8074 2.4035 2.0769
0.0000 0.0000 2.0769
3.4039 3.4039 2.0769
```

=====

Material: Ti2SnIr2
Method: DFT, PBE
State: optimized geometry

## Properties
As for the magnetization: 0.0 μB per cell. The calculation puts the formation energy at -50.8 kJ/mol of atoms. The space group is I4/mmm. The density of states at the Fermi level comes out at 2.1 states/eV per cell.

Geometry as POSCAR:
```
Ti2SnIr2
1.0
-2.1131 2.1131 5.2796
2.1131 -2.1131 5.2796
2.1131 2.1131 -5.2796
Ti Sn Ir
2 1 2
Cartesian
2.1131 0.0000 2.6398
0.0000 2.1131 2.6398
0.0000 0.0000 0.0000
0.0000 0.0000 4.0033
0.0000 0.0000 6.5558
```

=====

Material: TiSnIr
Method: DFT, PBE
State: optimized geometry

## Properties
As for the magnetization: 0.0 μB per cell. The calculation puts the formation energy at -54.2 kJ/mol of atoms. The space group is F-43m. The density of states at the Fermi level comes out at 8.3 states/eV per cell.

Geometry as POSCAR:
```
TiSnIr
1.0
0.0000 3.1012 3.1012
3.1012 0.0000 3.1012
3.1012 3.1012 0.0000
Ti Sn Ir
1 1 1
Cartesian
0.0000 0.0000 0.0000
3.1012 3.1012 3.1012
1.5506 1.5506 1.5506
```

=====

Material: Ti6SnIr
Method: DFT, PBE
State: optimized geometry

## Properties
As for the magnetization: 0.0 μB per cell. The calculation puts the formation energy at -33.6 kJ/mol of atoms. The value obtained for the offset from the most stable computed form is 1.400 kcal/mol of atoms. The space group is Amm2. The density of states at the Fermi level comes out at 8.2 states/eV per cell.

Geometry as POSCAR:
```
Ti6SnIr
1.0
4.5971 0.0000 0.0000
0.0000 3.1461 4.7249
0.0000 -3.1461 4.7249
Ti Sn Ir
6 1 1
Cartesian
0.0000 0.0000 0.0000
0.0000 -1.3534 2.6973
0.0000 1.3534 2.6973
2.2986 -1.6079 4.8372
2.2986 1.6079 4.8372
2.2986 0.0000 7.3616
0.0000 0.0000 5.2546
2.2986 0.0000 2.2249
```

=====

Material: Ti4SnIr2
Method: DFT, PBE
State: optimized geometry

## Properties
As for the magnetization: 0.0 μB per cell. The calculation puts the formation energy at -13.4 kJ/mol of atoms. The value obtained for the offset from the most stable computed form is 5.493 kcal/mol of atoms. The space group is I4/mmm. The density of states at the Fermi level comes out at 7.2 states/eV per cell.

Geometry as POSCAR:
```
Ti4SnIr2
1.0
-1.8122 1.8122 10.3382
1.8122 -1.8122 10.3382
1.8122 1.8122 -10.3382
Ti Sn Ir
4 1 2
Cartesian
0.0000 0.0000 2.7826
1.8122 0.0000 5.1691
0.0000 1.8122 5.1691
0.0000 0.0000 17.8938
0.0000 0.0000 0.0000
0.0000 0.0000 7.3629
0.0000 0.0000 13.3135
```

=====

Material: Ti4SnIr2
Method: DFT, PBE
State: optimized geometry

## Properties
As for the magnetization: 0.0 μB per cell. The calculation puts the formation energy at -36.4 kJ/mol of atoms. The value obtained for the offset from the most stable computed form is 0.000 kcal/mol of atoms. The space group is R-3m. The density of states at the Fermi level comes out at 6.3 states/eV per cell.

Geometry as POSCAR:
```
Ti4SnIr2
1.0
2.0727 1.1967 9.1723
-2.0727 1.1967 9.1723
0.0000 -2.3934 9.1723
Ti Sn Ir
4 1 2
Cartesian
0.0000 0.0000 2.8674
0.0000 0.0000 8.3105
0.0000 0.0000 19.2063
0.0000 0.0000 24.6494
0.0000 0.0000 13.7584
0.0000 0.0000 10.9429
0.0000 0.0000 16.5739
```

=====

Material: Tl2SnIr2
Method: DFT, PBE
State: optimized geometry

## Properties
As for the magnetization: 0.0 μB per cell. The calculation puts the formation energy at 48.7 kJ/mol of atoms. The value obtained for the offset from the most stable computed form is 4.002 kcal/mol of atoms. The space group is I4/mmm. The density of states at the Fermi level comes out at 5.9 states/eV per cell.

Geometry as POSCAR:
```
Tl2SnIr2
1.0
-1.8190 1.8190 9.1183
1.8190 -1.8190 9.1183
1.8190 1.8190 -9.1183
Tl Sn Ir
2 1 2
Cartesian
0.0000 0.0000 2.1953
0.0000 0.0000 16.0412
0.0000 0.0000 9.1183
1.8190 0.0000 4.5591
0.0000 1.8190 4.5591
```

=====

Material: TlSnIr3
Method: DFT, PBE
State: optimized geometry

## Properties
As for the magnetization: 0.0 μB per cell. The calculation puts the formation energy at 154.0 kJ/mol of atoms. The space group is Pm-3m. The density of states at the Fermi level comes out at 5.8 states/eV per cell.

Geometry as POSCAR:
```
TlSnIr3
1.0
4.8959 0.0000 0.0000
0.0000 4.8959 0.0000
0.0000 0.0000 4.8959
Tl Sn Ir
1 1 3
Cartesian
0.0000 0.0000 0.0000
2.4480 2.4480 2.4480
0.0000 2.4480 2.4480
2.4480 0.0000 2.4480
2.4480 2.4480 0.0000
```

=====

Material: TlSn2Ir
Method: DFT, PBE
State: optimized geometry

## Properties
As for the magnetization: 0.0 μB per cell. The calculation puts the formation energy at 27.5 kJ/mol of atoms. The value obtained for the offset from the most stable computed form is 5.624 kcal/mol of atoms. The space group is I-42d. The density of states at the Fermi level comes out at 3.9 states/eV per cell.

Geometry as POSCAR:
```
TlSn2Ir
1.0
-2.7287 2.7287 8.0793
2.7287 -2.7287 8.0793
2.7287 2.7287 -8.0793
Tl Sn Ir
2 4 2
Cartesian
0.0000 0.0000 0.0000
0.0000 2.7287 4.0396
1.3643 -0.8574 6.0595
1.8712 1.3643 2.0198
1.3643 3.5861 -2.0198
0.8574 1.3643 10.0991
2.7287 0.0000 4.0396
0.0000 0.0000 8.0793
```

=====

Material: TlSn2Ir
Method: DFT, PBE
State: optimized geometry

## Properties
As for the magnetization: 0.0 μB per cell. The calculation puts the formation energy at 4.0 kJ/mol of atoms. The value obtained for the offset from the most stable computed form is 0.000 kcal/mol of atoms. The space group is R-3m. The density of states at the Fermi level comes out at 2.0 states/eV per cell.

Geometry as POSCAR:
```
TlSn2Ir
1.0
1.8678 1.0783 9.1651
-1.8678 1.0783 9.1651
0.0000 -2.1567 9.1651
Tl Sn Ir
1 2 1
Cartesian
0.0000 0.0000 0.0000
0.0000 0.0000 3.0079
0.0000 0.0000 24.4874
0.0000 0.0000 13.7477
```

=====

Material: TlSn2Ir2
Method: DFT, PBE
State: optimized geometry

## Properties
As for the magnetization: 0.0 μB per cell. The calculation puts the formation energy at 3.8 kJ/mol of atoms. The value obtained for the offset from the most stable computed form is 0.000 kcal/mol of atoms. The space group is P4/mbm. The density of states at the Fermi level comes out at 4.1 states/eV per cell.

Geometry as POSCAR:
```
TlSn2Ir2
1.0
8.1047 0.0000 0.0000
0.0000 8.1047 0.0000
0.0000 0.0000 3.0302
Tl Sn Ir
2 4 4
Cartesian
0.0000 0.0000 0.0000
4.0524 4.0524 0.0000
1.2207 2.8317 1.5151
2.8317 6.8840 1.5151
5.2731 1.2207 1.5151
6.8840 5.2731 1.5151
1.1513 5.2037 0.0000
2.9010 1.1513 0.0000
5.2037 6.9534 0.0000
6.9534 2.9010 0.0000
```

=====

Material: TlSn2Ir2
Method: DFT, PBE
State: optimized geometry

## Properties
As for the magnetization: 0.0 μB per cell. The calculation puts the formation energy at 9.5 kJ/mol of atoms. The value obtained for the offset from the most stable computed form is 1.383 kcal/mol of atoms. The space group is I4/mmm. The density of states at the Fermi level comes out at 3.6 states/eV per cell.

Geometry as POSCAR:
```
TlSn2Ir2
1.0
-2.2550 2.2550 5.5300
2.2550 -2.2550 5.5300
2.2550 2.2550 -5.5300
Tl Sn Ir
1 2 2
Cartesian
0.0000 0.0000 0.0000
2.2550 0.0000 2.7650
0.0000 2.2550 2.7650
0.0000 0.0000 4.2600
0.0000 0.0000 6.8000
```

=====

Material: Tl2SnIr
Method: DFT, PBE
State: optimized geometry

## Properties
As for the magnetization: 0.0 μB per cell. The calculation puts the formation energy at 54.6 kJ/mol of atoms. The value obtained for the offset from the most stable computed form is 6.919 kcal/mol of atoms. The space group is Fm-3m. The density of states at the Fermi level comes out at 3.9 states/eV per cell.

Geometry as POSCAR:
```
Tl2SnIr
1.0
0.0000 3.5846 3.5846
3.5846 0.0000 3.5846
3.5846 3.5846 0.0000
Tl Sn Ir
2 1 1
Cartesian
1.7923 1.7923 1.7923
5.3769 5.3769 5.3769
0.0000 0.0000 0.0000
3.5846 3.5846 3.5846
```

=====

Material: TlSn2Ir
Method: DFT, PBE
State: optimized geometry

## Properties
As for the magnetization: 0.0 μB per cell. The calculation puts the formation energy at 30.0 kJ/mol of atoms. The value obtained for the offset from the most stable computed form is 6.226 kcal/mol of atoms. The space group is Fm-3m. The density of states at the Fermi level comes out at 1.2 states/eV per cell.

Geometry as POSCAR:
```
TlSn2Ir
1.0
0.0000 3.5441 3.5441
3.5441 0.0000 3.5441
3.5441 3.5441 0.0000
Tl Sn Ir
1 2 1
Cartesian
0.0000 0.0000 0.0000
1.7721 1.7721 1.7721
5.3162 5.3162 5.3162
3.5441 3.5441 3.5441
```

=====

Material: Tl2SnIr
Method: DFT, PBE
State: optimized geometry

## Properties
As for the magnetization: 0.0 μB per cell. The calculation puts the formation energy at 25.6 kJ/mol of atoms. The value obtained for the offset from the most stable computed form is 0.000 kcal/mol of atoms. The space group is I-42d. The density of states at the Fermi level comes out at 5.8 states/eV per cell.

Geometry as POSCAR:
```
Tl2SnIr
1.0
-4.8428 4.8428 2.5387
4.8428 -4.8428 2.5387
4.8428 4.8428 -2.5387
Tl Sn Ir
4 2 2
Cartesian
2.4214 1.2226 -0.6347
3.6202 -2.4214 3.1734
2.4214 3.6202 1.9040
1.2226 7.2642 0.6347
4.8428 0.0000 1.2693
0.0000 0.0000 2.5387
0.0000 0.0000 0.0000
0.0000 4.8428 1.2693
```

=====

Material: TlSn3Ir
Method: DFT, PBE
State: optimized geometry

## Properties
As for the magnetization: 0.0 μB per cell. The calculation puts the formation energy at 11.4 kJ/mol of atoms. The value obtained for the offset from the most stable computed form is 0.000 kcal/mol of atoms. The space group is Pm-3m. The density of states at the Fermi level comes out at 3.0 states/eV per cell.

Geometry as POSCAR:
```
TlSn3Ir
1.0
5.2273 0.0000 0.0000
0.0000 5.2273 0.0000
0.0000 0.0000 5.2273
Tl Sn Ir
1 3 1
Cartesian
0.0000 0.0000 0.0000
0.0000 2.6137 2.6137
2.6137 0.0000 2.6137
2.6137 2.6137 0.0000
2.6137 2.6137 2.6137
```

=====

Material: Tl2SnIr2
Method: DFT, PBE
State: optimized geometry

## Properties
As for the magnetization: 0.0 μB per cell. The calculation puts the formation energy at 52.3 kJ/mol of atoms. The value obtained for the offset from the most stable computed form is 4.865 kcal/mol of atoms. The space group is P4/mbm. The density of states at the Fermi level comes out at 7.7 states/eV per cell.

Geometry as POSCAR:
```
Tl2SnIr2
1.0
8.2476 0.0000 0.0000
0.0000 8.2476 0.0000
0.0000 0.0000 3.0482
Tl Sn Ir
4 2 4
Cartesian
1.1353 2.9885 0.0000
2.9885 7.1123 0.0000
5.2590 1.1353 0.0000
7.1123 5.2590 0.0000
0.0000 0.0000 0.0000
4.1238 4.1238 0.0000
1.3178 5.4416 1.5241
2.8060 1.3178 1.5241
5.4416 6.9298 1.5241
6.9298 2.8060 1.5241
```

=====

Material: Tl2SnIr2
Method: DFT, PBE
State: optimized geometry

## Properties
As for the magnetization: 0.0 μB per cell. The calculation puts the formation energy at 32.0 kJ/mol of atoms. The value obtained for the offset from the most stable computed form is 0.000 kcal/mol of atoms. The space group is P4/mbm. The density of states at the Fermi level comes out at 3.3 states/eV per cell.

Geometry as POSCAR:
```
Tl2SnIr2
1.0
7.1110 0.0000 0.0000
0.0000 7.1110 0.0000
0.0000 0.0000 4.0527
Tl Sn Ir
4 2 4
Cartesian
1.1370 2.4185 0.0000
2.4185 5.9740 0.0000
4.6925 1.1370 0.0000
5.9740 4.6925 0.0000
0.0000 0.0000 2.0264
3.5555 3.5555 2.0264
1.0135 4.5690 2.0264
2.5420 1.0135 2.0264
4.5690 6.0975 2.0264
6.0975 2.5420 2.0264
```

=====

| no. | V (Å³/cell) |
| --- | --- |
| 1 | 180.1 |
| 2 | 133.8 |
| 3 | 192.5 |
| 4 | 94.3 |
| 5 | 59.7 |
| 6 | 136.7 |
| 7 | 135.8 |
| 8 | 136.5 |
| 9 | 120.7 |
| 10 | 117.4 |
| 11 | 240.6 |
| 12 | 110.8 |
| 13 | 199.0 |
| 14 | 112.5 |
| 15 | 92.1 |
| 16 | 89.0 |
| 17 | 238.2 |
| 18 | 142.8 |
| 19 | 207.3 |
| 20 | 204.9 |